# 1
! Ac2PaP3Ir12 | the Alexandria database | PBE-GGA | optimized geometry; values from VASP
&SYSTEM
  ibrav = 0, nat = 18, ntyp = 4
/
ATOMIC_SPECIES
Ac 227.00 Ac.upf
Pa 231.04 Pa.upf
P 30.97 P.upf
Ir 192.22 Ir.upf
ATOMIC_POSITIONS angstrom
Ac 0.000 0.000 1.883
Ac 0.000 0.000 16.421
Pa 0.000 0.000 9.152
P -2.053 -1.185 6.101
P -2.053 1.185 12.203
P 0.000 2.371 6.101
Ir -2.143 -1.237 8.415
Ir 0.000 -2.037 5.561
Ir -1.764 1.019 5.561
Ir 0.000 -2.475 9.890
Ir -2.143 1.237 9.890
Ir -1.764 -1.019 12.743
Ir 1.764 1.019 5.561
Ir 2.143 -1.237 8.415
Ir 0.000 2.475 8.415
Ir 1.764 -1.019 12.743
Ir 0.000 2.037 12.743
Ir 2.143 1.237 9.890
CELL_PARAMETERS angstrom
4.106 2.371 6.101
-4.106 2.371 6.101
0.000 -4.741 6.101
! E (eV per cell): -141.5
! DOS(E_F) (states/eV per cell): 11.06



# 2
! HgBr2 | the Alexandria database | PBE-GGA | optimized geometry; values from VASP
&SYSTEM
  ibrav = 0, nat = 3, ntyp = 2
/
ATOMIC_SPECIES
Hg 200.59 Hg.upf
Br 79.90 Br.upf
ATOMIC_POSITIONS angstrom
Hg 0.000 0.000 0.000
Br 0.000 2.381 5.274
Br 2.062 1.190 1.599
CELL_PARAMETERS angstrom
4.124 0.000 0.000
-2.062 3.571 0.000
0.000 0.000 6.873
! ΔE_f (raw) (eV per atom): -0.409
! DOS(E_F) (states/eV per cell): 0.00



# 3
! Er4Ru2Rh | the Alexandria database | PBE-GGA | optimized geometry; values from VASP
&SYSTEM
  ibrav = 0, nat = 7, ntyp = 3
/
ATOMIC_SPECIES
Er 167.26 Er.upf
Ru 101.07 Ru.upf
Rh 102.91 Rh.upf
ATOMIC_POSITIONS angstrom
Er 1.685 1.685 -1.687
Er 1.685 -1.685 1.687
Er -1.685 1.685 1.687
Er 1.685 1.685 1.687
Ru 3.370 0.000 0.000
Ru 0.000 3.370 0.000
Rh 0.000 0.000 0.000
CELL_PARAMETERS angstrom
-3.370 3.370 3.374
3.370 -3.370 3.374
3.370 3.370 -3.374
! E (eV per cell): -47.7
! DOS(E_F) (states/eV per cell): 3.63



# 4
! CeIrPdPb | the Alexandria database | PBE-GGA | optimized geometry; values from VASP
&SYSTEM
  ibrav = 0, nat = 4, ntyp = 4
/
ATOMIC_SPECIES
Ce 140.12 Ce.upf
Ir 192.22 Ir.upf
Pd 106.42 Pd.upf
Pb 207.20 Pb.upf
ATOMIC_POSITIONS angstrom
Ce 0.000 0.000 0.000
Ir 1.733 1.733 1.733
Pd 5.199 5.199 5.199
Pb 3.466 3.466 3.466
CELL_PARAMETERS angstrom
0.000 3.466 3.466
3.466 0.000 3.466
3.466 3.466 0.000
! E (eV per cell): -25.4
! DOS(E_F) (states/eV per cell): 4.48



# 5
! ZrTl2Cl | the Alexandria database | PBE-GGA | optimized geometry; values from VASP
&SYSTEM
  ibrav = 0, nat = 4, ntyp = 3
/
ATOMIC_SPECIES
Zr 91.22 Zr.upf
Tl 204.38 Tl.upf
Cl 35.45 Cl.upf
ATOMIC_POSITIONS angstrom
Zr 0.000 0.000 0.000
Tl 1.686 2.618 1.406
Tl 1.686 2.618 4.267
Cl 0.000 0.000 2.837
CELL_PARAMETERS angstrom
3.372 0.000 0.000
0.000 5.236 0.000
0.000 0.000 5.673
! ΔE_f (raw) (eV per atom): -0.057
! Polymorph energy (0 for the lowest one) (meV/atom): 486
! DOS(E_F) (states/eV per cell): 3.74



# 6
! Sr2TaAg | the Alexandria database | PBE-GGA | optimized geometry; values from VASP
&SYSTEM
  ibrav = 0, nat = 4, ntyp = 3
/
ATOMIC_SPECIES
Sr 87.62 Sr.upf
Ta 180.95 Ta.upf
Ag 107.87 Ag.upf
ATOMIC_POSITIONS angstrom
Sr 0.000 2.933 0.000
Sr 2.933 0.000 0.000
Ta 0.000 0.000 1.717
Ag 2.933 2.933 1.717
CELL_PARAMETERS angstrom
5.866 0.000 0.000
0.000 5.866 0.000
0.000 0.000 3.434
! Polymorph energy (0 for the lowest one) (meV/atom): 179
! DOS(E_F) (states/eV per cell): 4.00



# 7
! NiSnSN2 | the Alexandria database | PBE-GGA | optimized geometry; values from VASP
&SYSTEM
  ibrav = 0, nat = 5, ntyp = 4
/
ATOMIC_SPECIES
Ni 58.69 Ni.upf
Sn 118.71 Sn.upf
S 32.06 S.upf
N 14.01 N.upf
ATOMIC_POSITIONS angstrom
Ni 0.000 0.000 0.000
Sn 0.000 0.000 2.975
S 1.822 1.822 2.975
N 0.000 1.822 0.000
N 1.822 0.000 0.000
CELL_PARAMETERS angstrom
3.644 0.000 0.000
0.000 3.644 0.000
0.000 0.000 5.951
! ΔE_f (raw) (eV per atom): 1.049
! Polymorph energy (0 for the lowest one) (meV/atom): 54
! DOS(E_F) (states/eV per cell): 4.24



# 8
! Sm2Ho2ErMg5 | the Alexandria database | PBE-GGA | optimized geometry; values from VASP
&SYSTEM
  ibrav = 0, nat = 20, ntyp = 4
/
ATOMIC_SPECIES
Sm 150.36 Sm.upf
Ho 164.93 Ho.upf
Er 167.26 Er.upf
Mg 24.30 Mg.upf
ATOMIC_POSITIONS angstrom
Sm 1.877 3.412 0.000
Sm 3.412 8.702 0.000
Sm 7.166 1.877 0.000
Sm 8.702 7.166 0.000
Ho 1.265 6.554 0.000
Ho 4.024 1.265 0.000
Ho 6.554 9.314 0.000
Ho 9.314 4.024 0.000
Er 0.000 0.000 0.000
Er 5.289 5.289 0.000
Mg 0.000 5.289 2.529
Mg 0.729 8.488 2.529
Mg 2.090 0.729 2.529
Mg 3.199 6.018 2.529
Mg 4.561 3.199 2.529
Mg 5.289 0.000 2.529
Mg 6.018 7.380 2.529
Mg 7.380 4.561 2.529
Mg 8.488 9.850 2.529
Mg 9.850 2.090 2.529
CELL_PARAMETERS angstrom
10.579 0.000 0.000
0.000 10.579 0.000
0.000 0.000 5.059
! E (eV per cell): -61.2
! DOS(E_F) (states/eV per cell): 13.51



# 9
! Y4PuP5 | the Alexandria database | PBE-GGA | optimized geometry; values from VASP
&SYSTEM
  ibrav = 0, nat = 10, ntyp = 3
/
ATOMIC_SPECIES
Y 88.91 Y.upf
Pu 244.00 Pu.upf
P 30.97 P.upf
ATOMIC_POSITIONS angstrom
Y 0.000 0.000 2.022
Y 0.000 0.000 5.993
Y 0.000 0.000 14.033
Y 0.000 0.000 18.004
Pu 0.000 0.000 10.013
P 2.007 0.000 0.000
P 2.007 0.000 4.016
P 2.007 0.000 8.057
P 0.000 2.829 1.956
P 0.000 2.829 5.997
CELL_PARAMETERS angstrom
-2.007 2.829 10.013
2.007 -2.829 10.013
2.007 2.829 -10.013
! E (eV per cell): -82.5
! DOS(E_F) (states/eV per cell): 12.47



# 10
! NaSmAs2O6 | the Alexandria database | PBE-GGA | optimized geometry; values from VASP
&SYSTEM
  ibrav = 0, nat = 20, ntyp = 4
/
ATOMIC_SPECIES
Na 22.99 Na.upf
Sm 150.36 Sm.upf
As 74.92 As.upf
O 16.00 O.upf
ATOMIC_POSITIONS angstrom
Na 3.032 2.734 4.683
Na 4.552 -2.734 1.561
Sm 4.552 0.952 1.561
Sm 3.032 -0.952 4.683
As -0.137 0.672 4.567
As 1.384 -0.672 1.446
As 6.200 0.672 4.798
As 7.721 -0.672 1.676
O 2.895 2.426 1.926
O 0.295 0.083 2.798
O -1.226 -0.083 5.920
O 1.463 0.812 5.372
O 6.209 2.426 1.196
O 2.984 -0.812 2.251
O 4.600 0.812 3.993
O 1.375 -2.426 5.047
O 6.121 -0.812 0.871
O 8.809 0.083 0.323
O 7.289 -0.083 3.445
O 4.688 -2.426 4.318
CELL_PARAMETERS angstrom
5.313 -4.755 0.000
5.313 4.755 0.000
-3.042 0.000 6.243
! ΔE_f (raw) (eV per atom): -1.828
! DOS(E_F) (states/eV per cell): 4.07



# 11
! CrOs2Ru | the Alexandria database | PBE-GGA | optimized geometry; values from VASP
&SYSTEM
  ibrav = 0, nat = 4, ntyp = 3
/
ATOMIC_SPECIES
Cr 52.00 Cr.upf
Os 190.23 Os.upf
Ru 101.07 Ru.upf
ATOMIC_POSITIONS angstrom
Cr 0.000 0.000 0.000
Os 0.000 0.000 2.585
Os 0.000 0.000 5.079
Ru 0.000 0.000 8.663
CELL_PARAMETERS angstrom
2.147 1.240 3.724
-2.147 1.240 3.724
0.000 -2.479 3.724
! Polymorph energy (0 for the lowest one) (meV/atom): 429
! DOS(E_F) (states/eV per cell): 3.45



# 12
! Ga2Sn2Ge | the Alexandria database | PBE-GGA | optimized geometry; values from VASP
&SYSTEM
  ibrav = 0, nat = 10, ntyp = 3
/
ATOMIC_SPECIES
Ga 69.72 Ga.upf
Sn 118.71 Sn.upf
Ge 72.64 Ge.upf
ATOMIC_POSITIONS angstrom
Ga 0.925 2.586 0.000
Ga 2.586 6.098 0.000
Ga 4.437 0.925 0.000
Ga 6.098 4.437 0.000
Sn 1.301 4.812 2.337
Sn 2.211 1.301 2.337
Sn 4.812 5.723 2.337
Sn 5.723 2.211 2.337
Ge 0.000 0.000 0.000
Ge 3.512 3.512 0.000
CELL_PARAMETERS angstrom
7.023 0.000 0.000
0.000 7.023 0.000
0.000 0.000 4.673
! Polymorph energy (0 for the lowest one) (meV/atom): 0
! DOS(E_F) (states/eV per cell): 4.31



Which value of DOS(E_F) does entry 6 give? 4.00 states/eV per cell



Which of these has the lowest DOS(E_F)? HgBr2



Which value of DOS(E_F) does entry 6 give? 4.00 states/eV per cell



The lowest DOS(E_F) belongs to which entry? HgBr2